# BaAlP2Cl (PBE, relaxed)
# Formation energy from raw total energies ... 1.04 eV/atom
data_BaAlP2Cl
_cell_length_a 5.474
_cell_length_b 5.474
_cell_length_c 14.560
_cell_angle_alpha 90.00
_cell_angle_beta 90.00
_cell_angle_gamma 90.00
_space_group_name_H-M_alt 'P 1'
_space_group_IT_number 1
_space_group_name_Hall 'P 1'
loop_
_atom_site_label
_atom_site_fract_x
_atom_site_fract_y
_atom_site_fract_z
Ba1 0.000 0.000 0.000
Al1 0.000 0.000 0.500
P1 0.000 0.500 0.000
P2 0.500 0.000 0.000
Cl1 0.500 0.500 0.500

=====

# RbBaAl2Cl8 (PBE, relaxed)
# Formation energy from raw total energies ... -1.66 eV/atom
data_RbBaAl2Cl8
_cell_length_a 10.669
_cell_length_b 10.669
_cell_length_c 10.669
_cell_angle_alpha 37.86
_cell_angle_beta 37.86
_cell_angle_gamma 37.86
_space_group_name_H-M_alt 'P 1'
_space_group_IT_number 1
_space_group_name_Hall 'P 1'
loop_
_atom_site_label
_atom_site_fract_x
_atom_site_fract_y
_atom_site_fract_z
Rb1 0.000 0.000 0.000
Ba1 0.500 0.500 0.500
Al1 0.255 0.255 0.255
Al2 0.745 0.745 0.745
Cl1 0.056 0.803 0.452
Cl2 0.197 0.548 0.944
Cl3 0.329 0.329 0.329
Cl4 0.452 0.056 0.803
Cl5 0.548 0.944 0.197
Cl6 0.671 0.671 0.671
Cl7 0.803 0.452 0.056
Cl8 0.944 0.197 0.548